1.
! YVZn3 PBE-GGA relaxed; values from VASP
&SYSTEM
  ibrav = 0, nat = 5, ntyp = 3
/
ATOMIC_SPECIES
Y 88.91 Y.upf
V 50.94 V.upf
Zn 65.41 Zn.upf
CELL_PARAMETERS angstrom
5.3303 0.0000 0.0000
0.0000 5.3303 0.0000
0.0000 0.0000 5.3303
ATOMIC_POSITIONS angstrom
Y 0.0000 0.0000 0.0000
V 2.6652 2.6652 2.6652
Zn 0.0000 0.0000 2.6652
Zn 0.0000 2.6652 0.0000
Zn 2.6652 0.0000 0.0000
! Calculated volume   30.29 Å³/atom
! Energy of formation   30.6 kcal/mol of atoms
! N(E_F)   9.53 states/eV/cell

2.
! PmBe4Pt3 PBE-GGA relaxed; values from VASP
&SYSTEM
  ibrav = 0, nat = 8, ntyp = 3
/
ATOMIC_SPECIES
Pm 145.00 Pm.upf
Be 9.01 Be.upf
Pt 195.08 Pt.upf
CELL_PARAMETERS angstrom
3.8721 0.0000 0.0000
0.0000 3.8721 0.0000
0.0000 0.0000 8.0250
ATOMIC_POSITIONS angstrom
Pm 0.0000 0.0000 0.0000
Be 0.0000 1.9361 2.7315
Be 0.0000 1.9361 5.2935
Be 1.9361 0.0000 2.7315
Be 1.9361 0.0000 5.2935
Pt 0.0000 0.0000 4.0125
Pt 1.9361 1.9361 1.4311
Pt 1.9361 1.9361 6.5939
! Calculated volume   15.04 Å³/atom
! Energy of formation   -14.3 kcal/mol of atoms
! N(E_F)   3.43 states/eV/cell

3.
! Dy12Y3Tl PBE-GGA relaxed; values from VASP
&SYSTEM
  ibrav = 0, nat = 16, ntyp = 3
/
ATOMIC_SPECIES
Dy 162.50 Dy.upf
Y 88.91 Y.upf
Tl 204.38 Tl.upf
CELL_PARAMETERS angstrom
4.9562 0.0000 0.0000
0.0000 4.9562 0.0000
0.0000 0.0000 20.1643
ATOMIC_POSITIONS angstrom
Dy 0.0000 0.0000 0.0000
Dy 0.0000 0.0000 4.9387
Dy 0.0000 0.0000 10.0822
Dy 0.0000 0.0000 15.2256
Dy 0.0000 2.4781 2.4485
Dy 0.0000 2.4781 7.5342
Dy 0.0000 2.4781 12.6302
Dy 0.0000 2.4781 17.7158
Dy 2.4781 0.0000 2.4485
Dy 2.4781 0.0000 7.5342
Dy 2.4781 0.0000 12.6302
Dy 2.4781 0.0000 17.7158
Y 2.4781 2.4781 5.0112
Y 2.4781 2.4781 10.0822
Y 2.4781 2.4781 15.1531
Tl 2.4781 2.4781 0.0000
! Calculated volume   30.96 Å³/atom
! Energy of formation   -0.6 kcal/mol of atoms
! N(E_F)   19.99 states/eV/cell

4.
! Mg2CrNi PBE-GGA relaxed; values from VASP
&SYSTEM
  ibrav = 0, nat = 16, ntyp = 3
/
ATOMIC_SPECIES
Mg 24.30 Mg.upf
Cr 52.00 Cr.upf
Ni 58.69 Ni.upf
CELL_PARAMETERS angstrom
6.3366 0.0000 0.0000
0.0000 6.3366 0.0000
0.0000 0.0000 6.3366
ATOMIC_POSITIONS angstrom
Mg 0.0000 0.0000 0.0000
Mg 0.0000 3.1683 3.1683
Mg 1.5841 1.5841 1.5841
Mg 1.5841 4.7524 4.7524
Mg 3.1683 0.0000 3.1683
Mg 3.1683 3.1683 0.0000
Mg 4.7524 1.5841 4.7524
Mg 4.7524 4.7524 1.5841
Cr 0.0000 0.0000 3.1683
Cr 0.0000 3.1683 0.0000
Cr 3.1683 0.0000 0.0000
Cr 3.1683 3.1683 3.1683
Ni 1.5841 1.5841 4.7524
Ni 1.5841 4.7524 1.5841
Ni 4.7524 1.5841 1.5841
Ni 4.7524 4.7524 4.7524
! Calculated volume   15.90 Å³/atom
! Energy of formation   5.3 kcal/mol of atoms
! N(E_F)   12.11 states/eV/cell

5.
! Pm12P3Ir5 PBE-GGA relaxed; values from VASP
&SYSTEM
  ibrav = 0, nat = 80, ntyp = 3
/
ATOMIC_SPECIES
Pm 145.00 Pm.upf
P 30.97 P.upf
Ir 192.22 Ir.upf
CELL_PARAMETERS angstrom
-8.4635 8.4635 8.4635
8.4635 -8.4635 8.4635
8.4635 8.4635 -8.4635
ATOMIC_POSITIONS angstrom
Pm 2.5567 -0.3557 1.0810
Pm 10.1385 5.3127 -4.5874
Pm 11.0202 0.3557 1.0810
Pm 10.1385 -3.1507 4.5874
Pm 8.1078 -1.0810 2.5567
Pm 13.0509 -1.6750 3.1507
Pm 1.0810 2.5567 -0.3557
Pm 11.6142 3.8760 -1.6750
Pm 5.3127 4.5874 -1.6750
Pm 7.3825 2.5567 0.3557
Pm -0.3557 1.0810 2.5567
Pm 4.5874 -1.6750 5.3127
Pm 8.1078 7.3825 -2.5567
Pm 4.5874 1.6750 3.1507
Pm 5.3127 -4.5874 10.1385
Pm 7.3825 -2.5567 8.1078
Pm 3.1507 4.5874 1.6750
Pm 9.5445 5.9067 0.3557
Pm 4.5874 10.1385 -3.1507
Pm 8.1078 1.0810 5.9067
Pm 2.5567 8.1078 -1.0810
Pm 10.1385 3.1507 3.8760
Pm 1.6750 3.1507 4.5874
Pm 2.5567 0.3557 7.3825
Pm 5.9067 8.1078 1.0810
Pm 6.7885 5.3127 3.8760
Pm -1.6750 5.3127 4.5874
Pm 5.9067 0.3557 9.5445
Pm 0.3557 7.3825 2.5567
Pm 3.8760 -1.6750 11.6142
Pm -1.0810 2.5567 8.1078
Pm 5.3127 3.8760 6.7885
Pm 1.0810 11.0202 0.3557
Pm 3.1507 13.0509 -1.6750
Pm 3.8760 6.7885 5.3127
Pm 0.3557 1.0810 11.0202
Pm 3.8760 10.1385 3.1507
Pm 8.8192 7.3825 5.9067
Pm 1.0810 5.9067 8.1078
Pm 3.1507 3.8760 10.1385
Pm -3.1507 4.5874 10.1385
Pm 7.3825 5.9067 8.8192
Pm -4.5874 10.1385 5.3127
Pm 0.3557 9.5445 5.9067
Pm -1.6750 11.6142 3.8760
Pm -2.5567 8.1078 7.3825
Pm -1.6750 3.1507 13.0509
Pm 5.9067 8.8192 7.3825
P 4.2317 2.1159 0.0000
P 8.4635 4.2317 -2.1159
P 2.1159 0.0000 4.2317
P 10.5793 0.0000 4.2317
P 0.0000 4.2317 2.1159
P 4.2317 -2.1159 8.4635
P 4.2317 10.5793 0.0000
P 8.4635 4.2317 6.3476
P -2.1159 8.4635 4.2317
P 6.3476 8.4635 4.2317
P 0.0000 4.2317 10.5793
P 4.2317 6.3476 8.4635
Ir 0.0000 0.0000 0.0000
Ir 4.2317 4.2317 -4.2317
Ir 4.2317 -4.2317 4.2317
Ir 8.4635 0.0000 0.0000
Ir 12.6952 2.1159 0.0000
Ir 8.4635 -4.2317 6.3476
Ir 6.3476 8.4635 -4.2317
Ir 6.3476 0.0000 4.2317
Ir 4.2317 6.3476 0.0000
Ir 8.4635 4.2317 2.1159
Ir -4.2317 4.2317 4.2317
Ir 0.0000 8.4635 0.0000
Ir 0.0000 0.0000 8.4635
Ir 4.2317 4.2317 4.2317
Ir 0.0000 4.2317 6.3476
Ir 4.2317 2.1159 8.4635
Ir 2.1159 8.4635 4.2317
Ir 2.1159 0.0000 12.6952
Ir 0.0000 12.6952 2.1159
Ir -4.2317 6.3476 8.4635
! Calculated volume   30.31 Å³/atom
! Energy of formation   -9.8 kcal/mol of atoms
! N(E_F)   76.01 states/eV/cell

6.
! NaReSe2 PBE-GGA relaxed; values from VASP
&SYSTEM
  ibrav = 0, nat = 16, ntyp = 3
/
ATOMIC_SPECIES
Na 22.99 Na.upf
Re 186.21 Re.upf
Se 78.96 Se.upf
CELL_PARAMETERS angstrom
6.4297 0.0000 0.0000
0.0000 6.4297 0.0000
0.0000 0.0000 6.4297
ATOMIC_POSITIONS angstrom
Na 0.0000 0.0000 0.0000
Na 0.0000 3.2149 3.2149
Na 3.2149 0.0000 3.2149
Na 3.2149 3.2149 0.0000
Re 0.0000 0.0000 3.2149
Re 0.0000 3.2149 0.0000
Re 3.2149 0.0000 0.0000
Re 3.2149 3.2149 3.2149
Se 1.6074 1.6074 1.6074
Se 1.6074 1.6074 4.8223
Se 1.6074 4.8223 1.6074
Se 1.6074 4.8223 4.8223
Se 4.8223 1.6074 1.6074
Se 4.8223 1.6074 4.8223
Se 4.8223 4.8223 1.6074
Se 4.8223 4.8223 4.8223
! Calculated volume   16.61 Å³/atom
! Uncorrected formation energy   73.9 meV/atom
! N(E_F)   1.19 states/eV/cell

7.
! Zr6CoI14 PBE-GGA relaxed; values from VASP
&SYSTEM
  ibrav = 0, nat = 42, ntyp = 3
/
ATOMIC_SPECIES
Zr 91.22 Zr.upf
Co 58.93 Co.upf
I 126.90 I.upf
CELL_PARAMETERS angstrom
8.1412 -7.4923 0.0000
8.1412 7.4923 0.0000
0.0000 0.0000 13.2610
ATOMIC_POSITIONS angstrom
Zr 1.8119 0.9658 11.7426
Zr 8.1412 5.4093 11.9216
Zr 1.8119 -0.9658 1.5184
Zr 6.3293 0.9658 8.1488
Zr 8.1412 2.0829 5.2911
Zr 6.3293 -0.9658 5.1121
Zr 9.9532 0.9658 8.1488
Zr 8.1412 -2.0829 7.9698
Zr 9.9532 -0.9658 5.1121
Zr 14.4705 0.9658 11.7426
Zr 8.1412 -5.4093 1.3393
Zr 14.4705 -0.9658 1.5184
Co 0.0000 0.0000 0.0000
Co 8.1412 0.0000 6.6305
I 2.0080 1.3536 3.2902
I 4.0706 2.1616 9.9457
I 6.1208 3.9452 0.1402
I 6.1208 3.5471 6.7707
I 8.1412 5.2380 3.4966
I 2.0080 -1.3536 9.9707
I 4.0581 0.0000 6.6305
I 4.0831 0.0000 0.0000
I 6.1332 1.3536 3.3402
I 8.1412 2.2542 10.1270
I 10.1617 3.9452 0.1402
I 10.1617 3.5471 6.7707
I 4.0706 -2.1616 3.3152
I 6.1332 -1.3536 9.9207
I 10.1492 1.3536 3.3402
I 12.2118 2.1616 9.9457
I 6.1208 -3.5471 6.4903
I 6.1208 -3.9452 13.1208
I 8.1412 -2.2542 3.1339
I 10.1492 -1.3536 9.9207
I 12.1993 0.0000 0.0000
I 12.2244 0.0000 6.6305
I 14.2744 1.3536 3.2902
I 8.1412 -5.2380 9.7644
I 10.1617 -3.5471 6.4903
I 10.1617 -3.9452 13.1208
I 12.2118 -2.1616 3.3152
I 14.2744 -1.3536 9.9707
! Calculated volume   38.52 Å³/atom
! Uncorrected formation energy   -889.2 meV/atom
! N(E_F)   15.60 states/eV/cell

8.
! CsCI PBE-GGA relaxed; values from VASP
&SYSTEM
  ibrav = 0, nat = 12, ntyp = 3
/
ATOMIC_SPECIES
Cs 132.91 Cs.upf
C 12.01 C.upf
I 126.90 I.upf
CELL_PARAMETERS angstrom
13.8858 0.0000 0.0000
0.0000 3.6440 0.0000
0.0000 0.0000 7.9943
ATOMIC_POSITIONS angstrom
Cs 1.8141 0.9110 1.7587
Cs 5.1289 2.7330 5.7558
Cs 8.7570 0.9110 2.2384
Cs 12.0718 2.7330 6.2356
C 0.0889 2.7330 3.7006
C 6.8540 0.9110 7.6977
C 7.0318 2.7330 0.2965
C 13.7970 0.9110 4.2937
I 1.5948 0.9110 5.8190
I 5.3481 2.7330 1.8219
I 8.5377 0.9110 6.1724
I 12.2910 2.7330 2.1753
! Calculated volume   33.71 Å³/atom
! Uncorrected formation energy   728.8 meV/atom
! N(E_F)   3.53 states/eV/cell

9.
! Er8ScCd2 PBE-GGA relaxed; values from VASP
&SYSTEM
  ibrav = 0, nat = 11, ntyp = 3
/
ATOMIC_SPECIES
Er 167.26 Er.upf
Sc 44.96 Sc.upf
Cd 112.41 Cd.upf
CELL_PARAMETERS angstrom
4.3318 -7.4484 0.0000
4.3318 7.4484 0.0000
-2.0798 0.0000 5.0205
ATOMIC_POSITIONS angstrom
Er 0.5126 1.6699 3.0828
Er 4.3318 4.2474 0.0000
Er 0.5126 -1.6699 3.0828
Er 2.9717 0.0000 1.0025
Er 3.6120 0.0000 4.0180
Er 6.0711 1.6699 1.9377
Er 4.3318 -4.2474 0.0000
Er 6.0711 -1.6699 1.9377
Sc 0.0000 0.0000 0.0000
Cd 3.2919 2.8968 2.5102
Cd 3.2919 -2.8968 2.5102
! Calculated volume   29.45 Å³/atom
! Energy of formation   0.9 kcal/mol of atoms
! N(E_F)   15.87 states/eV/cell

10.
! Ce4ZrO10 PBE-GGA relaxed; values from VASP
&SYSTEM
  ibrav = 0, nat = 15, ntyp = 3
/
ATOMIC_SPECIES
Ce 140.12 Ce.upf
Zr 91.22 Zr.upf
O 16.00 O.upf
CELL_PARAMETERS angstrom
-1.9067 1.9067 13.5357
1.9067 -1.9067 13.5357
1.9067 1.9067 -13.5357
ATOMIC_POSITIONS angstrom
Ce 0.0000 0.0000 2.6430
Ce 0.0000 0.0000 8.1419
Ce 0.0000 0.0000 18.9296
Ce 0.0000 0.0000 24.4285
Zr 0.0000 0.0000 13.5357
O 1.9067 0.0000 1.2573
O 1.9067 0.0000 4.0138
O 1.9067 0.0000 6.7679
O 1.9067 0.0000 9.5220
O 1.9067 0.0000 12.2784
O 0.0000 1.9067 1.2573
O 0.0000 1.9067 4.0138
O 0.0000 1.9067 6.7679
O 0.0000 1.9067 9.5220
O 0.0000 1.9067 12.2784
! Calculated volume   13.12 Å³/atom
! Uncorrected formation energy   -3403.2 meV/atom
! N(E_F)   0.00 states/eV/cell

11.
! Zn2Cu3Pt2 PBE-GGA relaxed; values from VASP
&SYSTEM
  ibrav = 0, nat = 14, ntyp = 3
/
ATOMIC_SPECIES
Zn 65.41 Zn.upf
Cu 63.55 Cu.upf
Pt 195.08 Pt.upf
CELL_PARAMETERS angstrom
12.1483 0.0000 0.0000
0.0000 2.7502 0.0000
-2.7338 0.0000 5.8150
ATOMIC_POSITIONS angstrom
Zn 0.4146 0.0000 1.2012
Zn 2.9259 1.3751 4.6138
Zn 6.4887 1.3751 1.2012
Zn 9.0000 0.0000 4.6138
Cu -1.3669 0.0000 2.9075
Cu 0.9752 0.0000 3.7514
Cu 2.3652 1.3751 2.0636
Cu 4.7073 1.3751 2.9075
Cu 7.0494 1.3751 3.7514
Cu 8.4394 0.0000 2.0636
Pt -0.8550 1.3751 5.1714
Pt 4.1954 0.0000 0.6436
Pt 5.2192 0.0000 5.1714
Pt 10.2696 1.3751 0.6436
! Calculated volume   13.88 Å³/atom
! Energy of formation   -4.5 kcal/mol of atoms
! N(E_F)   5.20 states/eV/cell

12.
! LaCuI2O PBE-GGA relaxed; values from VASP
&SYSTEM
  ibrav = 0, nat = 5, ntyp = 4
/
ATOMIC_SPECIES
La 138.91 La.upf
Cu 63.55 Cu.upf
I 126.90 I.upf
O 16.00 O.upf
CELL_PARAMETERS angstrom
5.7420 0.0000 0.0000
0.0000 5.7420 0.0000
0.0000 0.0000 3.7477
ATOMIC_POSITIONS angstrom
La 0.0000 0.0000 0.0000
Cu 2.8710 2.8710 1.8739
I 0.0000 2.8710 1.8739
I 2.8710 0.0000 1.8739
O 2.8710 2.8710 0.0000
! Calculated volume   24.71 Å³/atom
! Uncorrected formation energy   -693.6 meV/atom
! N(E_F)   4.94 states/eV/cell